Density functional theory data (PBE-GGA) for crystalline TmAsF at its relaxed geometry.

abc: 3.219 3.219 10.216
angles: 90.00 90.00 90.00
Positions (direct):
Tm1 0.000 0.000 0.000
Tm2 0.500 0.500 0.500
As1 0.000 0.000 0.301
As2 0.500 0.500 0.801
F1 0.000 0.000 0.578
F2 0.500 0.500 0.078

Distance to the lowest polymorph of the same formula, eV/atom: 0.417
DOS at the Fermi energy, states/eV/cell: 2.82
Formation energy from raw total energies, meV/atom: -1853
Space-group type: No. 107
Final energy, eV per atom: -5.517